Record 1
Material: LaPa4Mn3N12
Method: DFT, GGA-PBE
State: optimized geometry

The structure in POSCAR format:
```
LaPa4Mn3N12
1.0
-4.090 4.090 4.090
4.090 -4.090 4.090
4.090 4.090 -4.090
La Pa Mn N
1 4 3 12
Direct
0.000 0.000 0.000
0.000 0.000 0.500
0.000 0.500 0.000
0.500 0.000 0.000
0.500 0.500 0.500
0.000 0.500 0.500
0.500 0.000 0.500
0.500 0.500 0.000
0.156 0.318 0.474
0.156 0.682 0.838
0.162 0.844 0.318
0.318 0.162 0.844
0.318 0.474 0.156
0.474 0.156 0.318
0.526 0.844 0.682
0.682 0.526 0.844
0.682 0.838 0.156
0.838 0.156 0.682
0.844 0.318 0.162
0.844 0.682 0.526
```

Values from the calculation:
Symmetry: No. 204
ΔE_f (raw), eV per atom: -0.790
Calculated volume, Å³ per atom: 13.7
Total moment, μB per cell: 7.96
Density, kg/m³: 8472


Record 2
Material: Tb2SbPd
Method: DFT, GGA-PBE
State: optimized geometry

The structure in POSCAR format:
```
Tb2SbPd
1.0
5.037 0.000 0.000
0.000 5.037 0.000
0.000 0.000 3.875
Tb Sb Pd
2 1 1
Direct
0.000 0.500 0.000
0.500 0.000 0.000
0.000 0.000 0.500
0.500 0.500 0.500
```

Values from the calculation:
Symmetry: No. 123
ΔE_f (raw), eV per atom: -0.818
Calculated volume, Å³ per atom: 24.6
Energy above the most stable polymorph in this dataset, meV per atom: 142
Total moment, μB per cell: 0.20
Density, kg/m³: 9222


Record 3
Material: Y2InHg6
Method: DFT, GGA-PBE
State: optimized geometry

The structure in POSCAR format:
```
Y2InHg6
1.0
4.157 -4.379 0.000
4.157 4.379 0.000
-0.368 0.000 6.077
Y In Hg
2 1 6
Direct
0.177 0.177 0.178
0.823 0.823 0.822
0.500 0.500 0.500
0.001 0.669 0.333
0.331 0.669 0.000
0.331 0.999 0.667
0.669 0.001 0.333
0.669 0.331 0.000
0.999 0.331 0.667
```

Values from the calculation:
Symmetry: No. 12
Energy relative to the elements, eV per atom: -0.27
Calculated volume, Å³ per atom: 24.6
Total moment, μB per cell: 0.00
Density, kg/m³: 11230


Record 4
Material: AcAl3Zn2
Method: DFT, GGA-PBE
State: optimized geometry

The structure in POSCAR format:
```
AcAl3Zn2
1.0
5.751 0.000 0.000
-2.875 4.980 0.000
0.000 0.000 4.256
Ac Al Zn
1 3 2
Direct
0.000 0.000 0.000
0.000 0.500 0.500
0.500 0.000 0.500
0.500 0.500 0.500
0.333 0.667 0.000
0.667 0.333 0.000
```

Values from the calculation:
Symmetry: No. 191
Energy relative to the elements, eV per atom: -0.29
Calculated volume, Å³ per atom: 20.3
Total moment, μB per cell: 0.00
Density, kg/m³: 5977


Record 5
Material: LiSn2Pt2
Method: DFT, GGA-PBE
State: optimized geometry

The structure in POSCAR format:
```
LiSn2Pt2
1.0
-2.048 2.048 6.390
2.048 -2.048 6.390
2.048 2.048 -6.390
Li Sn Pt
1 2 2
Direct
0.000 0.000 0.000
0.386 0.386 0.000
0.614 0.614 0.000
0.250 0.750 0.500
0.750 0.250 0.500
```

Values from the calculation:
Symmetry: No. 139
Energy relative to the elements, eV per atom: -0.35
Calculated volume, Å³ per atom: 21.4
Energy above the most stable polymorph in this dataset, meV per atom: 222
Total moment, μB per cell: 0.00
Density, kg/m³: 9829


Record 6
Material: Cs6K8S
Method: DFT, GGA-PBE
State: optimized geometry

The structure in POSCAR format:
```
Cs6K8S
1.0
6.666 3.848 8.153
-6.666 3.848 8.153
0.000 -7.697 8.153
Cs K S
6 8 1
Direct
0.166 0.467 0.616
0.384 0.834 0.533
0.467 0.616 0.166
0.533 0.384 0.834
0.616 0.166 0.467
0.834 0.533 0.384
0.024 0.918 0.284
0.082 0.716 0.976
0.245 0.245 0.245
0.284 0.024 0.918
0.716 0.976 0.082
0.755 0.755 0.755
0.918 0.284 0.024
0.976 0.082 0.716
0.000 0.000 0.000
```

Values from the calculation:
Symmetry: No. 148
ΔE_f (raw), eV per atom: -0.170
Calculated volume, Å³ per atom: 83.7
Total moment, μB per cell: 0.00
Density, kg/m³: 1511


Record 7
Material: Be2HgIr
Method: DFT, GGA-PBE
State: optimized geometry

The structure in POSCAR format:
```
Be2HgIr
1.0
2.920 0.000 0.000
0.000 2.910 0.000
-0.009 0.000 6.264
Be Hg Ir
2 1 1
Direct
0.001 0.000 0.187
0.999 0.000 0.813
0.500 0.500 0.500
0.500 0.500 0.000
```

Values from the calculation:
Symmetry: No. 10
Energy relative to the elements, eV per atom: -0.17
Calculated volume, Å³ per atom: 13.3
Total moment, μB per cell: 0.00
Density, kg/m³: 12821


Record 8
Material: Li2ZnRe
Method: DFT, GGA-PBE
State: optimized geometry

The structure in POSCAR format:
```
Li2ZnRe
1.0
-3.337 3.337 2.535
3.337 -3.337 2.535
3.337 3.337 -2.535
Li Zn Re
4 2 2
Direct
0.105 0.625 0.980
0.375 0.355 0.480
0.645 0.125 0.020
0.875 0.895 0.520
0.000 0.000 0.000
0.750 0.250 0.500
0.250 0.750 0.500
0.500 0.500 0.000
```

Values from the calculation:
Symmetry: No. 122
Energy relative to the elements, eV per atom: 0.78
Calculated volume, Å³ per atom: 14.1
Total moment, μB per cell: 0.00
Density, kg/m³: 7807


Summary of final energy in Ry per atom
-0.6840; -0.4014; -0.1628; -0.2406; -0.3493; -0.1008; -0.3174; -0.2648
(order as listed above)